First-principles (PBE-GGA) data for ErMgAgRh after structural relaxation, as listed in the Alexandria database.

**E_form**: -0.490 eV/atom
**Magnetization**: 0.0 μB per cell

Unit cell a=6.753 b=6.753 c=6.753 alpha=90.00 beta=90.00 gamma=90.00
Space group F-43m (No. 216)
One atom of each set of equivalent atoms:
1 Er 0.000 0.000 0.000
2 Mg 0.000 0.000 0.500
3 Ag 0.250 0.250 0.750
4 Rh 0.250 0.250 0.250


First-principles (PBE-GGA) data for Er2MgAg3Se6 after structural relaxation, as listed in the Alexandria database.

**Formation energy from raw total energies**: -0.9451 eV per atom
**Magnetization**: 0.0 μB per cell

Unit cell a=19.315 b=4.047 c=7.608 alpha=90.00 beta=104.05 gamma=90.00
Space group C2/m (No. 12)
One atom of each set of equivalent atoms:
1 Er 0.162 0.000 0.339
2 Mg 0.000 0.500 0.000
3 Ag 0.000 0.500 0.500
4 Ag 0.149 0.000 0.826
5 Se 0.009 0.000 0.268
6 Se 0.143 0.500 0.072
7 Se 0.186 0.500 0.612


First-principles (PBE-GGA) data for SmErMg2Ag4 after structural relaxation, as listed in the Alexandria database.

**E_form**: -0.292 eV/atom
**Magnetization**: 0.0 μB per cell

Unit cell a=4.9832 b=4.9832 c=24.1999 alpha=90.00 beta=90.00 gamma=120.00
Space group R-3m (No. 166, hexagonal axes)
One atom of each set of equivalent atoms:
1 Sm 0.0000 0.0000 0.0000
2 Er 0.0000 0.0000 0.5000
3 Mg 0.0000 0.0000 0.2497
4 Ag 0.0000 0.0000 0.1284
5 Ag 0.0000 0.0000 0.3768


First-principles (PBE-GGA) data for SmEr2MgAg4 after structural relaxation, as listed in the Alexandria database.

**E_form**: -0.278 eV/atom
**Magnetization**: 0.0 μB per cell

Unit cell a=5.0435 b=5.0435 c=24.9499 alpha=90.00 beta=90.00 gamma=120.00
Space group R-3m (No. 166, hexagonal axes)
One atom of each set of equivalent atoms:
1 Sm 0.0000 0.0000 0.0000
2 Er 0.0000 0.0000 0.2463
3 Mg 0.0000 0.0000 0.5000
4 Ag 0.0000 0.0000 0.1256
5 Ag 0.0000 0.0000 0.3805


Copy entry 1 word for word.
First-principles (PBE-GGA) data for ErMgAgRh after structural relaxation, as listed in the Alexandria database.

**E_form**: -0.490 eV/atom
**Magnetization**: 0.0 μB per cell

Unit cell a=6.753 b=6.753 c=6.753 alpha=90.00 beta=90.00 gamma=90.00
Space group F-43m (No. 216)
One atom of each set of equivalent atoms:
1 Er 0.000 0.000 0.000
2 Mg 0.000 0.000 0.500
3 Ag 0.250 0.250 0.750
4 Rh 0.250 0.250 0.250